No. 1
Material: Zr3BiPd
Method: DFT, PBE-GGA
State: relaxed

Results
ρ: 7.37 g/cm3
E above lowest polymorph: 0.000 eV per atom
crystal system: cubic
energy relative to the elements: 3.85 kcal/mol of atoms
D(E_F): 7.18 states/eV/cell
calculated volume: 26.54 A^3/atom

abc: 5.1004 5.1004 5.1004
angles: 90.00 90.00 90.00
Closest atoms and distances in Å follow each position.
Atoms (fractional coordinates):
Bi 0.5000 0.5000 0.5000  12 Zr 3.61
Zr 0.0000 0.5000 0.0000  2 Pd 2.55
Zr 0.5000 0.0000 0.0000  2 Pd 2.55
Zr 0.0000 0.0000 0.5000  2 Pd 2.55
Pd 0.0000 0.0000 0.0000  6 Zr 2.55

---

No. 2
Material: ErSc3Zn4
Method: DFT, PBE-GGA
State: relaxed

Results
ρ: 5.96 g/cm3
crystal system: orthorhombic
energy relative to the elements: -8.31 kcal/mol of atoms
D(E_F): 13.87 states/eV/cell
calculated volume: 19.62 A^3/atom

abc: 4.7904 6.8410 9.5804
angles: 90.00 90.00 90.00
Closest atoms and distances in Å follow each position.
Atoms (fractional coordinates):
Zn 0.5000 0.7621 0.0000  6 Sc 2.90-2.99, 2 Er 2.99
Zn 0.5000 0.2379 0.0000  6 Sc 2.90-2.99, 2 Er 2.99
Zn 0.9988 0.7621 0.2500  6 Sc 2.89-2.99, 2 Er 2.99
Zn 0.5000 0.7621 0.5000  6 Sc 2.90-2.99, 2 Er 2.99
Zn 0.0012 0.2379 0.7500  6 Sc 2.89-2.99, 2 Er 2.99
Zn 0.0012 0.7621 0.7500  6 Sc 2.89-2.99, 2 Er 2.99
Zn 0.9988 0.2379 0.2500  6 Sc 2.89-2.99, 2 Er 2.99
Zn 0.5000 0.2379 0.5000  6 Sc 2.90-2.99, 2 Er 2.99
Sc 0.0000 0.0000 0.0000  8 Zn 2.90
Sc 0.4992 0.5000 0.2500  8 Zn 2.99
Sc 0.5008 0.5000 0.7500  8 Zn 2.99
Sc 0.0000 0.0000 0.5000  8 Zn 2.90
Sc 0.5010 0.0000 0.7500  8 Zn 2.89-2.90
Sc 0.4990 0.0000 0.2500  8 Zn 2.89-2.90
Er 0.0000 0.5000 0.0000  8 Zn 2.99
Er 0.0000 0.5000 0.5000  8 Zn 2.99

---

No. 3
Material: SmYCuPt
Method: DFT, PBE-GGA
State: relaxed

Results
ρ: 9.06 g/cm3
E above lowest polymorph: 0.000 eV per atom
crystal system: orthorhombic
energy relative to the elements: -17.48 kcal/mol of atoms
D(E_F): 2.80 states/eV/cell
calculated volume: 22.81 A^3/atom

abc: 3.8335 4.4696 5.6600
angles: 90.00 109.79 90.00
Closest atoms and distances in Å follow each position.
Atoms (fractional coordinates):
Pt 0.5781 0.5000 0.1561  2 Cu 2.77, 3 Sm 3.01, 4 Y 3.01
Y 0.1380 0.0000 0.2760  3 Cu 2.98-3.04, 4 Pt 3.01
Sm 0.8603 0.5000 0.7207  3 Pt 3.01, 4 Cu 3.02
Cu 0.4236 0.0000 0.8472  2 Pt 2.77, 3 Y 2.98-3.04, 4 Sm 3.02

---

No. 4
Material: CaTl2Os
Method: DFT, PBE-GGA
State: relaxed

Results
ρ: 11.95 g/cm3
crystal system: tetragonal
energy relative to the elements: 12.19 kcal/mol of atoms
D(E_F): 3.67 states/eV/cell
calculated volume: 22.20 A^3/atom

abc: 4.4864 4.4831 4.4152
angles: 90.00 90.00 90.00
Closest atoms and distances in Å follow each position.
Atoms (fractional coordinates):
Tl 0.0000 0.0000 0.0000  4 Os 3.15, 4 Ca 3.15, 4 Tl 3.17
Tl 0.5000 0.5000 0.0000  4 Ca 3.15, 4 Os 3.15, 4 Tl 3.17
Os 0.0000 0.5000 0.5000  8 Tl 3.15, 4 Ca 3.17
Ca 0.5000 0.0000 0.5000  8 Tl 3.15, 4 Os 3.17

---

No. 5
Material: Sm3HoTh
Method: DFT, PBE-GGA
State: relaxed

Results
ρ: 7.89 g/cm3
E above lowest polymorph: 0.215 eV per atom
crystal system: trigonal
energy relative to the elements: 7.13 kcal/mol of atoms
D(E_F): 16.39 states/eV/cell
calculated volume: 35.69 A^3/atom

abc: 6.8751 6.8751 9.5809
angles: 68.97 68.97 60.00
Closest atoms and distances in Å follow each position.
Atoms (fractional coordinates):
Sm 0.7690 0.7693 0.2069  3 Th 3.31-3.58, 4 Sm 3.34-3.54, 1 Ho 3.55
Sm 0.2310 0.2307 0.7931  3 Th 3.31-3.58, 4 Sm 3.34-3.54, 1 Ho 3.55
Sm 0.2548 0.7690 0.2069  3 Th 3.31-3.58, 4 Sm 3.34-3.54, 1 Ho 3.55
Sm 0.2307 0.7452 0.7931  3 Th 3.31-3.58, 4 Sm 3.34-3.54, 1 Ho 3.55
Sm 0.7693 0.2548 0.2069  3 Th 3.31-3.58, 4 Sm 3.34-3.54, 1 Ho 3.55
Sm 0.7452 0.2310 0.7931  3 Th 3.31-3.58, 4 Sm 3.34-3.54, 1 Ho 3.55
Ho 0.1828 0.1828 0.4516  1 Th 3.14
Ho 0.8172 0.8172 0.5484  1 Th 3.14
Th 0.3027 0.3027 0.0920  1 Ho 3.14, 3 Sm 3.31
Th 0.6973 0.6973 0.9080  1 Ho 3.14, 3 Sm 3.31

---

No. 6
Material: BeSbWCl2
Method: DFT, PBE-GGA
State: relaxed

Results
ρ: 4.47 g/cm3
crystal system: tetragonal
formation energy without anion corrections: 0.471 eV per atom
D(E_F): 1.03 states/eV/cell
calculated volume: 28.62 A^3/atom

abc: 4.0824 8.5868 4.0824
angles: 90.00 90.00 90.00
Closest atoms and distances in Å follow each position.
Atoms (fractional coordinates):
Be 0.0000 0.0000 0.0000  4 Cl 2.04
Cl 0.5000 0.0000 0.0000  2 Be 2.04
Cl 0.0000 0.0000 0.5000  2 Be 2.04
W 0.5000 0.5000 0.5000  4 Sb 2.89
Sb 0.0000 0.5000 0.0000  4 W 2.89